! TiBeIr2 | Alexandria | GGA-PBE | relaxed; values from VASP
&SYSTEM
  ibrav = 0, nat = 4, ntyp = 3
/
ATOMIC_SPECIES
Ti 47.87 Ti.upf
Be 9.01 Be.upf
Ir 192.22 Ir.upf
ATOMIC_POSITIONS angstrom
Ti -0.629 -0.521 -1.344
Be -2.174 -2.480 0.138
Ir -1.855 -0.023 0.877
Ir 0.310 -1.936 0.606
CELL_PARAMETERS angstrom
-1.257 -1.042 -2.688
0.620 -3.872 1.211
-3.711 -0.045 1.753
! Electronic total energy = -8.075 eV per atom
! V = 53.0 Å³/cell
! DOS at the Fermi energy = 0.978 states/eV/f.u.
! ΔE_f = -0.74 eV per atom

=====

! Ti4BeIr5 | Alexandria | GGA-PBE | relaxed; values from VASP
&SYSTEM
  ibrav = 0, nat = 10, ntyp = 3
/
ATOMIC_SPECIES
Ir 192.22 Ir.upf
Be 9.01 Be.upf
Ti 47.87 Ti.upf
ATOMIC_POSITIONS angstrom
Ir 1.474 1.474 1.380
Ir 1.474 1.474 15.105
Ir 1.474 1.474 11.803
Ir 1.474 1.474 4.681
Ir 1.474 1.474 8.242
Be 0.000 0.000 0.000
Ti 0.000 0.000 13.493
Ti 0.000 0.000 2.991
Ti 0.000 0.000 6.471
Ti 0.000 0.000 10.014
CELL_PARAMETERS angstrom
2.947 0.000 0.000
0.000 2.947 0.000
0.000 0.000 16.484
! Electronic total energy = -8.770 eV per atom
! V = 143.2 Å³/cell
! DOS at the Fermi energy = 8.258 states/eV/f.u.
! ΔE_f = -0.81 eV per atom

=====

! TiBe2Ir2 | Alexandria | GGA-PBE | relaxed; values from VASP
&SYSTEM
  ibrav = 0, nat = 10, ntyp = 3
/
ATOMIC_SPECIES
Ti 47.87 Ti.upf
Ir 192.22 Ir.upf
Be 9.01 Be.upf
ATOMIC_POSITIONS angstrom
Ti 3.132 -3.435 -0.947
Ti 0.000 0.000 0.000
Ir 5.440 -2.493 -1.519
Ir 4.022 -5.811 -1.266
Ir 0.824 -4.377 -0.374
Ir 2.242 -1.059 -0.627
Be 5.747 -4.526 -0.222
Be 4.518 -1.141 0.222
Be 2.459 -5.827 0.595
Be 1.230 -2.441 1.040
CELL_PARAMETERS angstrom
-0.221 -6.703 -0.182
6.485 -0.167 -1.711
0.713 -0.097 2.711
! Electronic total energy = -7.129 eV per atom
! V = 126.2 Å³/cell
! E above lowest polymorph = 83 kJ/mol of formula units
! DOS at the Fermi energy = 2.386 states/eV/f.u.
! ΔE_f = -0.52 eV per atom

=====

Question: Which formula does entry 2 have?
Answer: Ti4BeIr5